Entry 1:
# Pm5Dy2Er3 (GGA-PBE, optimized geometry)
# DFT formation energy = 4.33 kcal/mol of atoms
data_Pm5Dy2Er3
_chemical_formula_sum 'Pm20 Dy8 Er12'
_cell_length_a 10.682
_cell_length_b 14.950
_cell_length_c 9.926
_cell_angle_alpha 90.00
_cell_angle_beta 122.55
_cell_angle_gamma 90.00
_symmetry_space_group_name_H-M 'C 1 2/c 1'
_symmetry_Int_Tables_number 15
_symmetry_space_group_name_Hall '-C 2yc'
loop_
_atom_site_label
_atom_site_fract_x
_atom_site_fract_y
_atom_site_fract_z
_atom_site_occupancy
Pm1 0.000 0.022 0.250 1
Pm2 0.000 0.231 0.250 1
Pm3 0.000 0.271 0.750 1
Pm4 0.244 0.381 0.240 1
Dy1 0.155 0.379 0.555 1
Er1 0.000 0.476 0.750 1
Er2 0.151 0.124 0.056 1

Entry 2:
# La6CoPdRh2 (GGA-PBE, optimized geometry)
# DFT formation energy = -11.54 kcal/mol of atoms
data_La6CoPdRh2
_chemical_formula_sum 'La6 Co1 Pd1 Rh2'
_cell_length_a 7.154
_cell_length_b 7.163
_cell_length_c 7.802
_cell_angle_alpha 62.73
_cell_angle_beta 62.75
_cell_angle_gamma 60.06
_symmetry_space_group_name_H-M 'P 1'
_symmetry_Int_Tables_number 1
_symmetry_space_group_name_Hall 'P 1'
loop_
_atom_site_label
_atom_site_fract_x
_atom_site_fract_y
_atom_site_fract_z
_atom_site_occupancy
La1 0.000 0.000 0.000 1
La2 0.139 0.820 0.515 1
La3 0.297 0.338 0.000 1
La4 0.482 0.161 0.515 1
La5 0.661 0.636 0.000 1
La6 0.822 0.478 0.515 1
Co1 0.073 0.412 0.739 1
Pd1 0.572 0.910 0.243 1
Rh1 0.231 0.571 0.263 1
Rh2 0.726 0.064 0.781 1

Entry 3:
# Ce3TmP4 (GGA-PBE, optimized geometry)
# DFT formation energy = -34.85 kcal/mol of atoms
# distance to the lowest polymorph of the same formula = 6 meV per atom
data_Ce3TmP4
_chemical_formula_sum 'Ce3 Tm1 P4'
_cell_length_a 5.731
_cell_length_b 5.731
_cell_length_c 5.731
_cell_angle_alpha 90.00
_cell_angle_beta 90.00
_cell_angle_gamma 90.00
_symmetry_space_group_name_H-M 'P m -3 m'
_symmetry_Int_Tables_number 221
_symmetry_space_group_name_Hall '-P 4 2 3'
loop_
_atom_site_label
_atom_site_fract_x
_atom_site_fract_y
_atom_site_fract_z
_atom_site_occupancy
Ce1 0.000 0.000 0.500 1
Tm1 0.500 0.500 0.500 1
P1 0.000 0.000 0.000 1
P2 0.000 0.500 0.500 1

Entry 4:
# Er4SnRu (GGA-PBE, optimized geometry)
# DFT formation energy = -7.17 kcal/mol of atoms
# distance to the lowest polymorph of the same formula = 188 meV per atom
data_Er4SnRu
_chemical_formula_sum 'Er8 Sn2 Ru2'
_cell_length_a 7.548
_cell_length_b 6.917
_cell_length_c 6.706
_cell_angle_alpha 90.00
_cell_angle_beta 90.73
_cell_angle_gamma 90.00
_symmetry_space_group_name_H-M 'P 1 21/c 1'
_symmetry_Int_Tables_number 14
_symmetry_space_group_name_Hall '-P 2ybc'
loop_
_atom_site_label
_atom_site_fract_x
_atom_site_fract_y
_atom_site_fract_z
_atom_site_occupancy
Er1 0.139 0.157 0.168 1
Er2 0.301 0.646 0.131 1
Sn1 0.500 0.000 0.000 1
Ru1 0.000 0.000 0.500 1

Entry 5:
VASP calculation (GGA-PBE) on a relaxed Pr2SnO5 crystal.

```
data_Pr2SnO5
_chemical_formula_sum 'Pr8 Sn4 O20'
_cell_length_a 11.123
_cell_length_b 3.943
_cell_length_c 11.897
_cell_angle_alpha 90.00
_cell_angle_beta 90.00
_cell_angle_gamma 90.00
_symmetry_space_group_name_H-M 'P n m a'
_symmetry_Int_Tables_number 62
_symmetry_space_group_name_Hall '-P 2ac 2n'
loop_
_atom_site_label
_atom_site_fract_x
_atom_site_fract_y
_atom_site_fract_z
_atom_site_occupancy
Pr1 0.111 0.250 0.224 1
Pr2 0.131 0.250 0.561 1
Sn1 0.175 0.250 0.884 1
O1 0.005 0.250 0.838 1
O2 0.007 0.750 0.602 1
O3 0.226 0.250 0.046 1
O4 0.241 0.750 0.231 1
O5 0.241 0.750 0.887 1
```

Entry 6:
# MgTlNi2 (GGA-PBE, optimized geometry)
# DFT formation energy = 1.76 kcal/mol of atoms
data_MgTlNi2
_chemical_formula_sum 'Mg2 Tl2 Ni4'
_cell_length_a 3.593
_cell_length_b 4.036
_cell_length_c 8.554
_cell_angle_alpha 90.00
_cell_angle_beta 90.00
_cell_angle_gamma 90.00
_symmetry_space_group_name_H-M 'I m m 2'
_symmetry_Int_Tables_number 44
_symmetry_space_group_name_Hall 'I 2 -2'
loop_
_atom_site_label
_atom_site_fract_x
_atom_site_fract_y
_atom_site_fract_z
_atom_site_occupancy
Mg1 0.000 0.000 0.000 1
Tl1 0.000 0.500 0.236 1
Ni1 0.000 0.000 0.484 1
Ni2 0.000 0.500 0.760 1

Entry 7:
VASP calculation (GGA-PBE) on a relaxed Na3NdTm2Se6 crystal.

```
data_Na3NdTm2Se6
_chemical_formula_sum 'Na6 Nd2 Tm4 Se12'
_cell_length_a 7.205
_cell_length_b 12.483
_cell_length_c 7.412
_cell_angle_alpha 90.00
_cell_angle_beta 108.95
_cell_angle_gamma 90.00
_symmetry_space_group_name_H-M 'C 1 2/m 1'
_symmetry_Int_Tables_number 12
_symmetry_space_group_name_Hall '-C 2y'
loop_
_atom_site_label
_atom_site_fract_x
_atom_site_fract_y
_atom_site_fract_z
_atom_site_occupancy
Na1 0.000 0.000 0.000 1
Na2 0.000 0.335 0.000 1
Nd1 0.000 0.500 0.500 1
Tm1 0.000 0.167 0.500 1
Se1 0.232 0.000 0.730 1
Se2 0.249 0.328 0.729 1
```

Entry 8:
# NdCdBi (GGA-PBE, optimized geometry)
# DFT formation energy = -10.32 kcal/mol of atoms
# distance to the lowest polymorph of the same formula = 0 meV per atom
data_NdCdBi
_chemical_formula_sum 'Nd1 Cd1 Bi1'
_cell_length_a 4.8552
_cell_length_b 4.8552
_cell_length_c 4.4251
_cell_angle_alpha 90.00
_cell_angle_beta 90.00
_cell_angle_gamma 120.00
_symmetry_space_group_name_H-M 'P 3 m 1'
_symmetry_Int_Tables_number 156
_symmetry_space_group_name_Hall 'P 3 -2"'
loop_
_atom_site_label
_atom_site_fract_x
_atom_site_fract_y
_atom_site_fract_z
_atom_site_occupancy
Nd1 0.0000 0.0000 0.0000 1
Cd1 0.3333 0.6667 0.3259 1
Bi1 0.6667 0.3333 0.5818 1

Entry 9:
# YPW (GGA-PBE, optimized geometry)
# DFT formation energy = -15.00 kcal/mol of atoms
# distance to the lowest polymorph of the same formula = 0 meV per atom
data_YPW
_chemical_formula_sum 'Y2 P2 W2'
_cell_length_a 3.893
_cell_length_b 3.893
_cell_length_c 7.340
_cell_angle_alpha 90.00
_cell_angle_beta 90.00
_cell_angle_gamma 90.00
_symmetry_space_group_name_H-M 'P 4/n m m'
_symmetry_Int_Tables_number 129
loop_
_symmetry_equiv_pos_as_xyz
'x,y,z'
'-x,-y,-z'
'-y+1/2,x,z'
'y+1/2,-x,-z'
'-x+1/2,-y+1/2,z'
'x+1/2,y+1/2,-z'
'y,-x+1/2,z'
'-y,x+1/2,-z'
'x+1/2,-y,-z'
'-x+1/2,y,z'
'-y,-x,-z'
'y,x,z'
'-x,y+1/2,-z'
'x,-y+1/2,z'
'y+1/2,x+1/2,-z'
'-y+1/2,-x+1/2,z'
loop_
_atom_site_label
_atom_site_fract_x
_atom_site_fract_y
_atom_site_fract_z
_atom_site_occupancy
Y1 0.250 0.250 0.149 1
P1 0.250 0.250 0.735 1
W1 0.250 0.750 0.500 1

Entry 10:
# Tl2Cd2Pt (GGA-PBE, optimized geometry)
# DFT formation energy = 1.64 kcal/mol of atoms
# distance to the lowest polymorph of the same formula = 0 meV per atom
data_Tl2Cd2Pt
_chemical_formula_sum 'Tl4 Cd4 Pt2'
_cell_length_a 7.112
_cell_length_b 7.112
_cell_length_c 5.123
_cell_angle_alpha 90.00
_cell_angle_beta 90.00
_cell_angle_gamma 90.00
_symmetry_space_group_name_H-M 'P 4/m b m'
_symmetry_Int_Tables_number 127
_symmetry_space_group_name_Hall '-P 4 2ab'
loop_
_atom_site_label
_atom_site_fract_x
_atom_site_fract_y
_atom_site_fract_z
_atom_site_occupancy
Tl1 0.174 0.326 0.000 1
Cd1 0.149 0.649 0.500 1
Pt1 0.000 0.000 0.500 1

Entry 11:
VASP calculation (GGA-PBE) on a relaxed CeNd2HoTe5 crystal.

```
data_CeNd2HoTe5
_chemical_formula_sum 'Ce1 Nd2 Ho1 Te5'
_cell_length_a 5.529
_cell_length_b 5.529
_cell_length_c 11.888
_cell_angle_alpha 90.00
_cell_angle_beta 90.00
_cell_angle_gamma 90.00
_symmetry_space_group_name_H-M 'P 4/m m m'
_symmetry_Int_Tables_number 123
_symmetry_space_group_name_Hall '-P 4 2'
loop_
_atom_site_label
_atom_site_fract_x
_atom_site_fract_y
_atom_site_fract_z
_atom_site_occupancy
Ce1 0.000 0.000 0.000 1
Nd1 0.500 0.500 0.343 1
Ho1 0.000 0.000 0.500 1
Te1 0.000 0.000 0.252 1
Te2 0.000 0.500 0.500 1
Te3 0.500 0.500 0.000 1
```

Entry 12:
VASP calculation (GGA-PBE) on a relaxed NaPu2I4 crystal.

```
data_NaPu2I4
_chemical_formula_sum 'Na2 Pu4 I8'
_cell_length_a 16.967
_cell_length_b 3.763
_cell_length_c 8.407
_cell_angle_alpha 90.00
_cell_angle_beta 108.42
_cell_angle_gamma 90.00
_symmetry_space_group_name_H-M 'C 1 2/m 1'
_symmetry_Int_Tables_number 12
_symmetry_space_group_name_Hall '-C 2y'
loop_
_atom_site_label
_atom_site_fract_x
_atom_site_fract_y
_atom_site_fract_z
_atom_site_occupancy
Na1 0.000 0.000 0.000 1
Pu1 0.238 0.000 0.080 1
I1 0.103 0.000 0.736 1
I2 0.142 0.500 0.254 1
```

no.,final energy (eV/atom)
1,-4.477
2,-6.157
3,-7.000
4,-5.566
5,-7.517
6,-3.805
7,-4.905
8,-3.635
9,-8.926
10,-2.450
11,-4.808
12,-5.809